## HoOF (GGA-PBE)

Data for HoOF after structural relaxation.

- Symmetry: No. 61
- Crystal system: orthorhombic
- E: -7.687 eV per atom

a b c (Å): 5.5435 10.7702 10.6284
angles (deg): 90.00 90.00 90.00
Atoms (fractional coordinates):
1 Ho 0.1639 0.0276 0.1343
2 Ho 0.1639 0.4724 0.6343
3 Ho 0.1809 0.2358 0.3875
4 Ho 0.1809 0.2642 0.8875
5 Ho 0.3191 0.7358 0.3875
6 Ho 0.3191 0.7642 0.8875
7 Ho 0.3361 0.5276 0.1343
8 Ho 0.3361 0.9724 0.6343
9 Ho 0.6639 0.0276 0.3657
10 Ho 0.6639 0.4724 0.8657
11 Ho 0.6809 0.2358 0.1125
12 Ho 0.6809 0.2642 0.6125
13 Ho 0.8191 0.7358 0.1125
14 Ho 0.8191 0.7642 0.6125
15 Ho 0.8361 0.5276 0.3657
16 Ho 0.8361 0.9724 0.8657
17 O 0.0632 0.6299 0.5050
18 O 0.0632 0.8701 0.0050
19 O 0.0720 0.6440 0.2429
20 O 0.0720 0.8560 0.7429
21 O 0.4280 0.1440 0.2429
22 O 0.4280 0.3560 0.7429
23 O 0.4368 0.1299 0.5050
24 O 0.4368 0.3701 0.0050
25 O 0.5632 0.6299 0.9950
26 O 0.5632 0.8701 0.4950
27 O 0.5720 0.6440 0.2571
28 O 0.5720 0.8560 0.7571
29 O 0.9280 0.1440 0.2571
30 O 0.9280 0.3560 0.7571
31 O 0.9368 0.1299 0.9950
32 O 0.9368 0.3701 0.4950
33 F 0.0723 0.6166 0.9879
34 F 0.0723 0.8834 0.4879
35 F 0.1111 0.1022 0.7570
36 F 0.1111 0.3978 0.2570
37 F 0.3889 0.6022 0.7570
38 F 0.3889 0.8978 0.2570
39 F 0.4277 0.1166 0.9879
40 F 0.4277 0.3834 0.4879
41 F 0.5723 0.6166 0.5121
42 F 0.5723 0.8834 0.0121
43 F 0.6111 0.1022 0.7430
44 F 0.6111 0.3978 0.2430
45 F 0.8889 0.6022 0.7430
46 F 0.8889 0.8978 0.2430
47 F 0.9277 0.1166 0.5121
48 F 0.9277 0.3834 0.0121

## Tb3Pd4Pb (GGA-PBE)

Data for Tb3Pd4Pb after structural relaxation.

- Symmetry: No. 6
- Crystal system: monoclinic
- E: -5.569 eV per atom

a b c (Å): 5.5998 4.4969 6.9785
angles (deg): 90.00 91.54 90.00
Atoms (fractional coordinates):
1 Tb 0.0000 0.0000 0.0000
2 Tb 0.2348 0.0000 0.5064
3 Tb 0.7268 0.5000 0.3619
4 Pd 0.0217 0.5000 0.7231
5 Pd 0.2093 0.5000 0.2243
6 Pd 0.5124 0.0000 0.1387
7 Pd 0.7250 0.0000 0.6361
8 Pb 0.5105 0.5000 0.8590

## CuNiAgB (GGA-PBE)

Data for CuNiAgB after structural relaxation.

- Symmetry: No. 216
- Crystal system: cubic
- E above lowest polymorph: 0 meV/atom

a b c (Å): 4.0591 4.0591 4.0591
angles (deg): 60.00 60.00 60.00
Atoms (fractional coordinates):
1 Cu 0.0000 0.0000 0.0000
2 Ni 0.5000 0.5000 0.5000
3 Ag 0.7500 0.7500 0.7500
4 B 0.2500 0.2500 0.2500